GaNi2RuO6: relaxed, PBE+U.

E_tot, eV per atom: -5.481
N(E_F), states/eV/f.u.: 2.70

```
10
Lattice="-0.770 2.289 4.113 3.708 -2.904 2.310 3.613 3.570 -1.311" Properties=species:S:1:pos:R:3 pbc="T T T"
Ga -0.441 1.310 2.354
O 3.475 0.883 1.488
O 1.258 1.880 3.328
O 3.108 0.431 4.480
O 4.911 2.212 3.826
O 3.061 3.661 2.674
O -0.154 0.458 0.823
Ru 3.197 1.710 2.973
Ni 1.146 0.654 4.940
Ni 1.098 3.892 3.130
```


GaNi2SbO6: relaxed, PBE+U.

E_tot, eV per atom: -5.605

```
10
Lattice="-1.714 -3.076 3.783 -2.239 -4.513 -1.154 2.787 -4.610 1.045" Properties=species:S:1:pos:R:3 pbc="T T T"
Ni 2.558 -4.494 1.036
Ni -0.854 -5.961 1.825
Sb -1.120 -2.630 0.884
O -2.247 -6.768 3.090
O -0.226 -7.997 1.595
O 0.953 -5.743 0.696
O -0.801 -3.975 2.315
O 0.643 -6.139 3.348
O -1.739 -6.016 -0.020
Ga -1.619 -8.772 2.725
```


ScGaNiO2: relaxed, PBE+U.

E_tot, eV per atom: -4.554
N(E_F), states/eV/f.u.: 2.12

```
5
Lattice="-1.957 2.277 -2.484 -3.797 -0.541 2.495 0.948 3.129 2.121" Properties=species:S:1:pos:R:3 pbc="T T T"
O 0.474 1.564 1.061
O -0.979 1.139 -1.242
Ga -2.403 2.433 1.066
Ni 0.000 0.000 0.000
Sc -1.898 -0.271 1.248
```


GaNi2SeO6: relaxed, PBE+U.

E_tot, eV per atom: -4.823
N(E_F), states/eV/f.u.: 1.51

```
10
Lattice="4.761 0.000 0.000 0.000 5.224 0.000 0.000 0.000 5.224" Properties=species:S:1:pos:R:3 pbc="T T T"
Se 2.927 2.612 2.612
O 3.531 1.297 3.928
O 1.268 2.612 2.612
O 3.531 1.297 1.297
O 3.531 3.928 3.928
O 0.884 0.000 0.000
O 3.531 3.928 1.297
Ni 4.416 2.612 0.000
Ni 4.416 0.000 2.612
Ga 2.655 0.000 0.000
```


GaNiSn2O: relaxed, PBE+U.

E_tot, eV per atom: -3.458
N(E_F), states/eV/f.u.: 2.53

```
5
Lattice="4.826 0.000 0.000 0.000 4.071 0.000 0.000 0.000 4.826" Properties=species:S:1:pos:R:3 pbc="T T T"
Ga 0.000 2.036 0.000
Ni 2.413 2.036 2.413
Sn 2.413 0.000 0.000
Sn 0.000 0.000 2.413
O 0.000 0.000 0.000
```


Ga2NiSnO6: relaxed, PBE+U.

E_tot, eV per atom: -5.837
N(E_F), states/eV/f.u.: 0.00

```
10
Lattice="5.183 0.014 -0.005 2.580 4.495 0.004 2.591 1.495 4.636" Properties=species:S:1:pos:R:3 pbc="T T T"
Ga 2.591 1.496 4.297
Ga 5.177 3.002 2.042
O 6.023 1.688 3.489
O 3.620 2.924 3.492
O 5.892 4.387 3.493
O 6.922 3.182 1.171
O 4.458 1.403 1.170
O 4.149 4.426 1.174
Sn 2.588 1.502 0.316
Ni 7.765 4.504 2.604
```


> E_tot of number 4 (GaNi2SeO6)?

-4.823 eV per atom


Please write out number 3 again, unchanged.
ScGaNiO2: relaxed, PBE+U.

E_tot, eV per atom: -4.554
N(E_F), states/eV/f.u.: 2.12

```
5
Lattice="-1.957 2.277 -2.484 -3.797 -0.541 2.495 0.948 3.129 2.121" Properties=species:S:1:pos:R:3 pbc="T T T"
O 0.474 1.564 1.061
O -0.979 1.139 -1.242
Ga -2.403 2.433 1.066
Ni 0.000 0.000 0.000
Sc -1.898 -0.271 1.248
```


> Which value of E_tot does entry 4 give?

-4.823 eV per atom


> Among the records above, which one has the lowest E_tot?

Ga2NiSnO6